Entry 1:
A plane-wave DFT calculation with PBE was carried out for a geometry-optimized YEr2MgBi4 structure.

Structure (POSCAR):
```
YEr2MgBi4
1.0
4.417 0.000 0.000
0.000 7.746 -0.138
0.000 2.740 7.231
Er Bi Mg Y
2 4 1 1
Cartesian
2.209 1.370 3.615
0.000 2.740 7.231
2.209 6.495 1.685
2.209 3.991 5.408
4.417 2.639 1.725
0.000 7.847 5.368
2.209 3.873 -0.069
0.000 5.243 3.547
```

Properties
* spin magnetization: 0.000 μB/atom
* V: 249.1 Å³ per cell
* uncorrected energy: -37.50 eV/f.u.



Entry 2:
A plane-wave DFT calculation with PBE was carried out for a geometry-optimized Ni2PPb2 structure.

Structure (POSCAR):
```
Ni2PPb2
1.0
6.232 0.000 0.000
0.000 6.232 0.000
0.000 0.000 5.270
Pb Ni P
4 4 2
Cartesian
1.111 4.227 2.635
4.227 5.121 2.635
5.121 2.005 2.635
2.005 1.111 2.635
4.776 4.571 0.000
1.660 4.776 0.000
1.455 1.660 0.000
4.571 1.455 0.000
0.000 0.000 0.000
3.116 3.116 0.000
```

Properties
* spin magnetization: 0.000 μB/atom
* V: 204.6 Å³ per cell
* uncorrected energy: -23.69 eV/f.u.



Entry 3:
A plane-wave DFT calculation with PBE was carried out for a geometry-optimized PrHo4Tl5 structure.

Structure (POSCAR):
```
PrHo4Tl5
1.0
-3.280 -0.182 1.844
0.609 -3.647 0.724
9.058 4.805 16.584
Tl Ho Pr
5 4 1
Cartesian
4.957 1.424 12.805
6.730 2.365 16.051
1.430 -0.447 6.347
-0.343 -1.388 3.101
3.194 0.488 9.576
3.645 1.934 6.673
5.413 2.872 9.910
1.873 0.994 3.430
7.185 3.812 13.154
0.000 0.000 0.000
```

Properties
* spin magnetization: 0.000 μB/atom
* V: 276.7 Å³ per cell
* uncorrected energy: -38.35 eV/f.u.



Entry 4:
A plane-wave DFT calculation with PBE was carried out for a geometry-optimized TaReCl structure.

Structure (POSCAR):
```
TaReCl
1.0
-1.865 2.492 -3.156
-2.347 -3.201 1.972
-0.881 1.881 2.005
Ta Cl Re
1 1 1
Cartesian
-2.923 0.269 1.939
-0.831 1.775 1.892
-2.219 1.008 -1.006
```

Properties
* energy relative to the elements, uncorrected: 490.2 meV/atom
* spin magnetization: 0.000 μB/atom
* V: 49.1 Å³ per cell
* excess energy over the best structure of this formula in the dataset: 5.71 kcal/mol of atoms
* uncorrected energy: -24.68 eV/f.u.